Density functional theory data (PBE) for a geometry-optimized Ce4InGe structure.

- energy of formation from the pure elements (meV/atom) = -359
- total magnetization (Bohr magnetons per cell) = 3.4

Unit cell a=8.9988 b=12.7644 c=5.6716 alpha=90.00 beta=110.54 gamma=90.00
Closest atoms and distances in Å follow each position.
Space group C2/c (No. 15)
Inequivalent atoms, fractional coordinates:
Ce1 0.1232 0.1931 0.1629 (multiplicity 8)  3 Ce 2.73-2.83, 1 Ge 3.05
Ce2 0.2150 0.3952 0.3682 (multiplicity 8)  2 Ce 2.78-2.83, 1 Ge 3.07
In1 0.0000 0.3843 0.7500 (multiplicity 4)  10 Ce 3.29-3.40
Ge1 0.0000 0.0203 0.7500 (multiplicity 4)  2 Ge 2.88, 8 Ce 3.05-3.15

---

Density functional theory data (PBE) for a geometry-optimized Ce6InGe3 structure.

- energy of formation from the pure elements (meV/atom) = -501
- total magnetization (Bohr magnetons per cell) = 16.7

Unit cell a=11.5169 b=11.7607 c=7.6310 alpha=90.00 beta=90.00 gamma=90.00
Closest atoms and distances in Å follow each position.
Space group Cmc2_1 (No. 36)
Inequivalent atoms, fractional coordinates:
Ce1 0.0000 0.0668 0.9999 (multiplicity 4)  1 Ce 2.82, 4 Ge 3.01-3.08
Ce2 0.0000 0.1720 0.5288 (multiplicity 4)  3 Ce 2.82-3.13, 3 Ge 2.96-2.98
Ce3 0.1260 0.4558 0.5000 (multiplicity 8)  1 Ce 2.90, 4 Ge 2.97-3.12
Ce4 0.2430 0.2022 0.3523 (multiplicity 8)  3 Ge 3.03-3.20, 1 Ce 3.13
In1 0.0000 0.3154 0.1696 (multiplicity 4)  1 Ge 2.76
Ge1 0.0000 0.3445 0.8104 (multiplicity 4)  1 In 2.76, 5 Ce 2.96-3.07
Ge2 0.1865 0.0510 0.7239 (multiplicity 8)  7 Ce 2.97-3.20

---

Density functional theory data (PBE) for a geometry-optimized Ce4InGe2 structure.

- energy of formation from the pure elements (meV/atom) = -353
- total magnetization (Bohr magnetons per cell) = 9.3

Unit cell a=4.2151 b=4.2151 c=38.4159 alpha=90.00 beta=90.00 gamma=120.00
Closest atoms and distances in Å follow each position.
Space group R-3m (No. 166, hexagonal axes)
Inequivalent atoms, fractional coordinates:
Ce1 0.0000 0.0000 0.1083 (multiplicity 6)  3 Ge 2.97, 3 In 3.31
Ce2 0.0000 0.0000 0.3128 (multiplicity 6)  3 Ce 2.90, 3 Ge 2.95
In1 0.0000 0.0000 0.5000 (multiplicity 3)  6 Ce 3.31
Ge1 0.0000 0.0000 0.3975 (multiplicity 6)  7 Ce 2.95-3.25

---

Density functional theory data (PBE) for a geometry-optimized Ce9InGe2 structure.

- energy of formation from the pure elements (meV/atom) = -333
- total magnetization (Bohr magnetons per cell) = 7.1

Unit cell a=4.6774 b=4.6774 c=13.9775 alpha=90.00 beta=90.00 gamma=90.00
Closest atoms and distances in Å follow each position.
Space group P4/mmm (No. 123)
Inequivalent atoms, fractional coordinates:
Ce1 0.0000 0.0000 0.0000 (multiplicity 1)  4 In 3.31, 8 Ce 3.41
Ce2 0.0000 0.0000 0.3356 (multiplicity 2)  8 Ce 3.21-3.28, 4 Ge 3.31
Ce3 0.0000 0.5000 0.1778 (multiplicity 4)  8 Ce 3.21-3.41, 2 Ge 3.24, 2 In 3.41
Ce4 0.0000 0.5000 0.5000 (multiplicity 2)  4 Ge 3.26, 8 Ce 3.28-3.31
In1 0.5000 0.5000 0.0000 (multiplicity 1)  12 Ce 3.31-3.41
Ge1 0.5000 0.5000 0.3380 (multiplicity 2)  12 Ce 3.24-3.31

---

Density functional theory data (PBE) for a geometry-optimized Ce8In2Ge structure.

- energy of formation from the pure elements (meV/atom) = -217
- total magnetization (Bohr magnetons per cell) = 11.0

Unit cell a=17.0520 b=5.2094 c=6.8628 alpha=90.00 beta=108.08 gamma=90.00
Closest atoms and distances in Å follow each position.
Space group C2/m (No. 12)
Inequivalent atoms, fractional coordinates:
Ce1 0.0026 0.0000 0.3075 (multiplicity 4)  1 Ce 2.67
Ce2 0.1038 0.5000 0.4334 (multiplicity 4)  1 Ge 2.95, 3 Ce 2.95-3.10, 2 In 3.20
Ce3 0.1530 0.5000 0.8858 (multiplicity 4)  2 Ce 2.77-2.95, 1 Ge 2.95
Ce4 0.1887 0.0000 0.1445 (multiplicity 4)  1 Ce 2.77
In1 0.2012 0.0000 0.6533 (multiplicity 4)  12 Ce 3.20-3.57
Ge1 0.0000 0.5000 0.0000 (multiplicity 2)  4 Ce 2.95

---

Density functional theory data (PBE) for a geometry-optimized CeInGe structure.

- energy of formation from the pure elements (meV/atom) = -415
- total magnetization (Bohr magnetons per cell) = 2.6

Unit cell a=4.5926 b=4.5926 c=14.5539 alpha=90.00 beta=90.00 gamma=90.00
Closest atoms and distances in Å follow each position.
Space group I4/mmm (No. 139)
Inequivalent atoms, fractional coordinates:
Ce1 0.0000 0.0000 0.1368 (multiplicity 4)  4 Ge 3.04, 5 In 3.24-3.25
In1 0.0000 0.0000 0.3591 (multiplicity 4)  4 Ge 3.08, 5 Ce 3.24-3.25
Ge1 0.0000 0.5000 0.0000 (multiplicity 4)  4 Ce 3.04, 4 In 3.08, 4 Ge 3.25

---

- Number 5 is which compound?
  Ce8In2Ge

---

- Which of these has the highest energy of formation from the pure elements?
  Ce8In2Ge

---

- energy of formation from the pure elements of number 5 (Ce8In2Ge)?
  -217 meV/atom

---

- Look up the energy of formation from the pure elements of the sixth one.
  -415 meV/atom